No. 1
The following is a DFT calculation (PBE) of crystalline Pm2PrIn at its relaxed geometry.

Unit cell a=5.6024 b=5.6024 c=5.6024 alpha=60.00 beta=60.00 gamma=60.00
Fractional coordinates of all 4 atoms:
Pr 0.0000 0.0000 0.0000
In 0.5000 0.5000 0.5000
Pm 0.2500 0.2500 0.2500
Pm 0.7500 0.7500 0.7500

Values from the calculation:
- final energy (eV per cell) = -17.51
- space group = Fm-3m (225)
- ΔH_f (0 K) (meV per atom) = -123



No. 2
The following is a DFT calculation (PBE) of crystalline Pm3PrIn4 at its relaxed geometry.

Unit cell a=3.8609 b=3.8609 c=15.4721 alpha=90.00 beta=90.00 gamma=90.00
Fractional coordinates of all 8 atoms:
Pr 0.5000 0.5000 0.0000
In 0.0000 0.0000 0.8710
In 0.0000 0.0000 0.1290
In 0.0000 0.0000 0.3762
In 0.0000 0.0000 0.6238
Pm 0.5000 0.5000 0.2522
Pm 0.5000 0.5000 0.5000
Pm 0.5000 0.5000 0.7478

Values from the calculation:
- final energy (eV per cell) = -33.96
- space group = P4/mmm (123)
- ΔH_f (0 K) (meV per atom) = -497



No. 3
The following is a DFT calculation (PBE) of crystalline Pm5Pr12In2 at its relaxed geometry.

Unit cell a=9.4733 b=9.2212 c=8.7861 alpha=93.32 beta=90.00 gamma=120.91
Fractional coordinates of all 19 atoms:
Pm 0.2320 0.4640 0.5803
Pm 0.3099 0.6198 0.9852
Pm 0.0000 0.0000 0.5000
Pm 0.6901 0.3802 0.0148
Pm 0.7680 0.5360 0.4197
Pr 0.9213 0.8425 0.1145
Pr 0.0392 0.7082 0.7638
Pr 0.6689 0.7082 0.7638
Pr 0.1798 0.7487 0.3289
Pr 0.5689 0.7487 0.3289
Pr 0.4436 0.8871 0.6755
Pr 0.5564 0.1129 0.3245
Pr 0.8202 0.2513 0.6711
Pr 0.4311 0.2513 0.6711
Pr 0.9608 0.2918 0.2362
Pr 0.3311 0.2918 0.2362
Pr 0.0787 0.1575 0.8855
In 0.6743 0.0000 0.0000
In 0.3257 0.0000 0.0000

Values from the calculation:
- final energy (eV per cell) = -87.07
- space group = C2/m (12)
- ΔH_f (0 K) (meV per atom) = -26



No. 4
The following is a DFT calculation (PBE) of crystalline Pm5PrIn3 at its relaxed geometry.

Unit cell a=6.9090 b=9.6062 c=9.6050 alpha=120.00 beta=90.00 gamma=90.00
Fractional coordinates of all 18 atoms:
Pm 0.0000 0.6667 0.3334
Pm 0.5000 0.3333 0.6666
Pm 0.0000 0.3333 0.6666
Pm 0.5000 0.6667 0.3334
Pm 0.7500 0.6685 0.6686
Pm 0.7500 0.0000 0.3314
Pm 0.7500 0.3315 0.0000
Pm 0.2500 0.3315 0.3314
Pm 0.2500 0.0000 0.6686
Pm 0.2500 0.6685 0.0000
Pr 0.0000 0.0000 0.0000
Pr 0.5000 0.0000 0.0000
In 0.7500 0.3369 0.3369
In 0.7500 0.0000 0.6631
In 0.7500 0.6631 0.0000
In 0.2500 0.6631 0.6631
In 0.2500 0.0000 0.3369
In 0.2500 0.3369 0.0000

Values from the calculation:
- final energy (eV per cell) = -79.70
- space group = P6_3/mcm (193)
- ΔH_f (0 K) (meV per atom) = -345



No. 5
The following is a DFT calculation (PBE) of crystalline Pm2Pr3In4 at its relaxed geometry.

Unit cell a=5.4576 b=5.4602 c=10.4958 alpha=89.96 beta=90.00 gamma=60.01
Fractional coordinates of all 9 atoms:
Pm 0.3334 0.3332 0.7811
Pm 0.6666 0.6668 0.2189
Pr 0.3333 0.3335 0.4224
Pr 0.0000 0.0000 0.0000
Pr 0.6667 0.6665 0.5776
In 0.6668 0.6664 0.8993
In 0.9999 0.0002 0.3476
In 0.0001 0.9998 0.6524
In 0.3332 0.3336 0.1007

Values from the calculation:
- final energy (eV per cell) = -38.51
- space group = C2/m (12)
- ΔH_f (0 K) (meV per atom) = -413



No. 6
The following is a DFT calculation (PBE) of crystalline Pm2Pr5In5 at its relaxed geometry.

Unit cell a=5.3539 b=6.4653 c=12.3739 alpha=107.29 beta=90.00 gamma=114.46
Fractional coordinates of all 12 atoms:
Pm 0.0682 0.1363 0.7568
Pm 0.9318 0.8637 0.2432
Pr 0.5000 0.0000 0.5000
Pr 0.6555 0.3110 0.0018
Pr 0.6337 0.2673 0.2752
Pr 0.3663 0.7327 0.7248
Pr 0.3445 0.6891 0.9982
In 0.1754 0.3508 0.4618
In 0.7321 0.4641 0.7701
In 0.2679 0.5359 0.2299
In 0.8246 0.6492 0.5382
In 0.0000 0.0000 0.0000

Values from the calculation:
- final energy (eV per cell) = -50.93
- space group = C2/m (12)
- ΔH_f (0 K) (meV per atom) = -320



No. 7
The following is a DFT calculation (PBE) of crystalline Pm5Pr8In at its relaxed geometry.

Unit cell a=8.6590 b=8.6593 c=8.6590 alpha=109.46 beta=109.49 gamma=109.46
Fractional coordinates of all 14 atoms:
Pm 0.0096 0.3039 0.1166
Pm 0.8834 0.8930 0.1873
Pm 0.8127 0.6961 0.7057
Pm 0.5000 0.0000 0.5000
Pm 0.2942 0.1070 0.9904
Pr 0.1566 0.7162 0.0546
Pr 0.9454 0.1020 0.6616
Pr 0.7619 0.2716 0.3625
Pr 0.6375 0.3994 0.9091
Pr 0.5097 0.6006 0.2381
Pr 0.5596 0.8980 0.8434
Pr 0.3384 0.2838 0.4404
Pr 0.0909 0.7284 0.4903
In 0.2500 0.5000 0.7500

Values from the calculation:
- final energy (eV per cell) = -62.40
- space group = I-4 (82)
- ΔH_f (0 K) (meV per atom) = 166



No. 8
The following is a DFT calculation (PBE) of crystalline Pm7PrIn2 at its relaxed geometry.

Unit cell a=5.5434 b=9.1514 c=9.1514 alpha=118.85 beta=90.00 gamma=90.00
Fractional coordinates of all 10 atoms:
Pm 0.0000 0.7718 0.2282
Pm 0.0000 0.2282 0.7718
Pm 0.5000 0.0592 0.3032
Pm 0.5000 0.9408 0.6968
Pm 0.5000 0.3032 0.0592
Pm 0.5000 0.6968 0.9408
Pm 0.5000 0.5000 0.5000
Pr 0.0000 0.0000 0.0000
In 0.5000 0.6959 0.3041
In 0.5000 0.3041 0.6959

Values from the calculation:
- final energy (eV per cell) = -40.37
- space group = Cmmm (65)
- ΔH_f (0 K) (meV per atom) = 314



No. 9
The following is a DFT calculation (PBE) of crystalline Pm4PrIn4 at its relaxed geometry.

Unit cell a=6.2766 b=9.2550 c=9.2550 alpha=90.00 beta=90.00 gamma=90.00
Fractional coordinates of all 18 atoms:
Pm 0.3754 0.4276 0.8318
Pm 0.8754 0.6682 0.9276
Pm 0.3754 0.5724 0.1682
Pm 0.1246 0.0724 0.6682
Pm 0.6246 0.8318 0.5724
Pm 0.1246 0.9276 0.3318
Pm 0.8754 0.3318 0.0724
Pm 0.6246 0.1682 0.4276
Pr 0.0000 0.0000 0.0000
Pr 0.5000 0.5000 0.5000
In 0.6070 0.8980 0.2052
In 0.6070 0.1020 0.7948
In 0.1070 0.7052 0.6020
In 0.8930 0.3980 0.7052
In 0.8930 0.6020 0.2948
In 0.3930 0.2052 0.1020
In 0.3930 0.7948 0.8980
In 0.1070 0.2948 0.3980

Values from the calculation:
- final energy (eV per cell) = -74.56
- space group = P4_2/n (86)
- ΔH_f (0 K) (meV per atom) = -283



No. 10
The following is a DFT calculation (PBE) of crystalline PmPrIn at its relaxed geometry.

Unit cell a=4.0966 b=4.0966 c=6.1933 alpha=109.31 beta=109.31 gamma=90.00
Fractional coordinates of all 3 atoms:
Pr 0.2723 0.2723 0.5446
Pm 0.9640 0.9640 0.9280
In 0.6137 0.6137 0.2273

Values from the calculation:
- final energy (eV per cell) = -13.08
- space group = I4mm (107)
- ΔH_f (0 K) (meV per atom) = -270



No. 11
The following is a DFT calculation (PBE) of crystalline PmPrIn at its relaxed geometry.

Unit cell a=3.7604 b=5.3496 c=5.3496 alpha=120.00 beta=90.00 gamma=90.00
Fractional coordinates of all 3 atoms:
Pr 0.9645 0.0000 0.0000
In 0.6485 0.6667 0.3333
Pm 0.3871 0.3333 0.6667

Values from the calculation:
- final energy (eV per cell) = -13.01
- space group = P3m1 (156)
- ΔH_f (0 K) (meV per atom) = -247



No. 12
The following is a DFT calculation (PBE) of crystalline Pm6PrIn5 at its relaxed geometry.

Unit cell a=5.0879 b=9.0470 c=9.2703 alpha=119.20 beta=105.98 gamma=90.00
Fractional coordinates of all 12 atoms:
Pr 0.0000 0.0000 0.0000
In 0.6547 0.1547 0.3095
In 0.3243 0.3243 0.6484
In 0.0000 0.5000 0.0000
In 0.6757 0.6757 0.3516
In 0.3453 0.8453 0.6905
Pm 0.8294 0.5662 0.6585
Pm 0.8293 0.0923 0.6585
Pm 0.5000 0.7284 0.0000
Pm 0.5000 0.2716 0.0000
Pm 0.1707 0.9077 0.3415
Pm 0.1706 0.4338 0.3415

Values from the calculation:
- final energy (eV per cell) = -51.72
- space group = C2/m (12)
- ΔH_f (0 K) (meV per atom) = -395